(1)
Material: SrCeDy2As4
Method: DFT, PBE
State: relaxed

a = 7.3018 Å, b = 4.2201 Å, c = 7.3123 Å
α = 90.00°, β = 109.01°, γ = 90.00°
Space group P2/m (No. 10)
Inequivalent atoms, fractional coordinates:
Sr: 0.0000 0.0000 0.0000 x1
Ce: 0.5000 0.5000 0.0000 x1
Dy: 0.0000 0.5000 0.5000 x1
Dy: 0.5000 0.0000 0.5000 x1
As: 0.2562 0.0000 0.7425 x2
As: 0.2668 0.5000 0.2627 x2



(2)
Material: Sr3Ce2DyAs6
Method: DFT, PBE
State: relaxed

a = 7.4645 Å, b = 12.9369 Å, c = 7.5469 Å
α = 90.00°, β = 109.27°, γ = 90.00°
Space group C2/m (No. 12)
Inequivalent atoms, fractional coordinates:
Sr: 0.0000 0.0000 0.0000 x2
Sr: 0.0000 0.3341 0.0000 x4
Ce: 0.0000 0.1666 0.5000 x4
Dy: 0.0000 0.5000 0.5000 x2
As: 0.2391 0.0000 0.7209 x4
As: 0.2408 0.3327 0.7208 x8



| no. | formation energy from the elements (eV/atom) |
| --- | --- |
| 1 | -1.376 |
| 2 | -1.258 |